Computed, not measured: crystalline TlBiPd2 at its relaxed geometry at the PBE level of DFT.

The volume comes out at 94.03 Å³/f.u. The density of states at the Fermi level comes out at 0.35 states/eV/atom. Its calculated formation energy is 0.037 eV/atom.

a b c (Å): 4.551 4.551 9.634
angles (deg): 76.34 76.34 90.00
Atoms (fractional coordinates):
Tl (0.500, 0.500, 0.000)
Tl (0.250, 0.750, 0.500)
Bi (0.000, 0.000, 0.000)
Bi (0.750, 0.250, 0.500)
Pd (0.640, 0.125, 0.250)
Pd (0.110, 0.625, 0.250)
Pd (0.375, 0.360, 0.750)
Pd (0.875, 0.890, 0.750)